No. 1
{"formula": "CaInP2", "functional": "PBE-GGA", "state": "relaxed", "cell": [[4.017, 0.000, 0.000], [0.000, 4.017, 0.000], [0.000, 0.000, 5.691]], "species": ["Ca", "In", "P", "P"], "frac_coords": [[0.000, 0.000, 0.000], [0.500, 0.500, 0.500], [0.000, 0.000, 0.500], [0.500, 0.500, 0.000]], "magnetic_moment_mub_per_fu": 0.000, "total_energy_ev_per_fu": -16.82, "space_group": "No. 123", "dos_ef_per_ev_atom": 0.790, "ef_ev_per_atom": -0.314}

---

No. 2
{"formula": "CaIn4P", "functional": "PBE-GGA", "state": "relaxed", "cell": [[0.000, 4.309, 4.309], [4.309, 0.000, 4.309], [4.309, 4.309, 0.000]], "species": ["Ca", "In", "In", "In", "In", "P"], "frac_coords": [[0.000, 0.000, 0.000], [0.126, 0.625, 0.625], [0.625, 0.126, 0.625], [0.625, 0.625, 0.126], [0.625, 0.625, 0.625], [0.250, 0.250, 0.250]], "magnetic_moment_mub_per_fu": 0.000, "total_energy_ev_per_fu": -17.65, "e_above_lowest_polymorph_ev_per_fu": 1.691, "space_group": "No. 216", "dos_ef_per_ev_atom": 0.623, "ef_ev_per_atom": 0.119}

---

> Which formula does entry 2 have?

CaIn4P